Record 1
The following is a DFT calculation (GGA-PBE) of a relaxed KAg2I2Br crystal.

Computed properties:
DFT total energy: -2.603 eV per atom
energy relative to the elements, uncorrected: -674 meV/atom
density of states at the Fermi level: 0.00 states/eV/atom
space-group type: P2_1/m (11)

Lattice parameters (Å, degrees): 8.7244 5.9303 9.8033 90.00 107.20 90.00
With the nearest neighbours (Å) after each atom.
Fractional positions:
K  0.1881  0.2500  0.4075  6 I 3.59-3.70
K  0.8119  0.7500  0.5925  6 I 3.59-3.70
Ag  0.3470  0.0016  0.8249  2 Br 2.80-2.85, 2 I 2.85, 2 Ag 2.95-2.98
Ag  0.3470  0.4984  0.8249  2 Br 2.80-2.85, 2 I 2.85, 2 Ag 2.95-2.98
Ag  0.6530  0.5016  0.1751  2 Br 2.80-2.85, 2 I 2.85, 2 Ag 2.95-2.98
Ag  0.6530  0.9984  0.1751  2 Br 2.80-2.85, 2 I 2.85, 2 Ag 2.95-2.98
I  0.0544  0.2500  0.7324  2 Ag 2.85
I  0.4014  0.7500  0.5961  2 Ag 2.85
I  0.5986  0.2500  0.4039  2 Ag 2.85
I  0.9456  0.7500  0.2676  2 Ag 2.85
Br  0.3621  0.7500  0.0706  4 Ag 2.80-2.85
Br  0.6379  0.2500  0.9294  4 Ag 2.80-2.85

Record 2
The following is a DFT calculation (GGA-PBE) of a relaxed Y3HoPu2S6 crystal.

Computed properties:
DFT total energy: -8.393 eV per atom
energy relative to the elements, uncorrected: -1943 meV/atom
density of states at the Fermi level: 1.33 states/eV/atom
space-group type: C2/m (12)

Lattice parameters (Å, degrees): 6.7856 6.7856 6.8180 99.53 99.53 120.02
With the nearest neighbours (Å) after each atom.
Fractional positions:
Y  0.0000  0.0000  0.0000  6 S 2.77-2.78
Y  0.3326  0.6674  0.0000  6 S 2.77-2.78
Y  0.6674  0.3326  0.0000  6 S 2.77-2.78
Ho  0.5000  0.5000  0.5000  6 S 2.76-2.77
Pu  0.1665  0.8335  0.5000  6 S 2.78-2.79
Pu  0.8335  0.1665  0.5000  6 S 2.78-2.79
S  0.0855  0.4165  0.2496  1 Ho 2.76, 3 Y 2.77-2.78, 2 Pu 2.78
S  0.2531  0.2531  0.7519  3 Y 2.77-2.78, 1 Ho 2.77, 2 Pu 2.79
S  0.4165  0.0855  0.2496  1 Ho 2.76, 3 Y 2.77-2.78, 2 Pu 2.78
S  0.5835  0.9145  0.7504  1 Ho 2.76, 3 Y 2.77-2.78, 2 Pu 2.78
S  0.7469  0.7469  0.2481  3 Y 2.77-2.78, 1 Ho 2.77, 2 Pu 2.79
S  0.9145  0.5835  0.7504  1 Ho 2.76, 3 Y 2.77-2.78, 2 Pu 2.78

Record 3
The following is a DFT calculation (GGA-PBE) of a relaxed LaMg2Mo crystal.

Computed properties:
energy of formation from the pure elements: 0.2978 eV/atom
DFT total energy: -4.439 eV per atom
density of states at the Fermi level: 0.82 states/eV/atom
space-group type: Immm (71)

Lattice parameters (Å, degrees): 6.3225 6.3225 6.3225 149.06 134.65 55.91
With the nearest neighbours (Å) after each atom.
Fractional positions:
La  0.0000  0.0000  0.0000  4 Mo 2.96
Mg  0.2829  0.7829  0.5000  2 Mo 2.95, 4 Mg 3.05
Mg  0.7171  0.2171  0.5000  2 Mo 2.95, 4 Mg 3.05
Mo  0.5000  0.5000  0.0000  4 Mg 2.95, 4 La 2.96

Record 4
The following is a DFT calculation (GGA-PBE) of a relaxed CsBaSiP2 crystal.

Computed properties:
DFT total energy: -4.129 eV per atom
energy relative to the elements, uncorrected: -325 meV/atom
density of states at the Fermi level: 0.75 states/eV/atom
space-group type: P2/c (13)

Lattice parameters (Å, degrees): 8.3112 5.2336 9.3096 90.00 103.49 90.00
With the nearest neighbours (Å) after each atom.
Fractional positions:
Cs  0.0000  0.2421  0.2500  6 P 3.62-3.96
Cs  0.0000  0.7579  0.7500  6 P 3.62-3.96
Ba  0.5000  0.4858  0.7500  4 P 3.26-3.28, 4 Si 3.45-3.56
Ba  0.5000  0.5142  0.2500  4 P 3.26-3.28, 4 Si 3.45-3.56
Si  0.5000  0.0000  0.0000  2 P 2.11
Si  0.5000  0.0000  0.5000  2 P 2.11
P  0.2815  0.2215  0.9610  1 Si 2.11
P  0.2815  0.7785  0.4610  1 Si 2.11
P  0.7185  0.2215  0.5390  1 Si 2.11
P  0.7185  0.7785  0.0390  1 Si 2.11

Record 5
The following is a DFT calculation (GGA-PBE) of a relaxed AlMoAu2 crystal.

Computed properties:
energy of formation from the pure elements: 0.0553 eV/atom
DFT total energy: -5.227 eV per atom
density of states at the Fermi level: 0.62 states/eV/atom
space-group type: P2/m (10)

Lattice parameters (Å, degrees): 2.8763 4.2793 5.5831 90.00 104.16 90.00
With the nearest neighbours (Å) after each atom.
Fractional positions:
Al  0.0000  0.0000  0.0000  4 Au 2.64, 2 Mo 2.79, 2 Al 2.88
Mo  0.0000  0.0000  0.5000  2 Al 2.79, 2 Mo 2.88, 8 Au 2.91-2.94
Au  0.3897  0.5000  0.2443  2 Al 2.64, 4 Au 2.77-2.95, 4 Mo 2.91-2.94
Au  0.6103  0.5000  0.7557  2 Al 2.64, 4 Au 2.77-2.95, 4 Mo 2.91-2.94

Record 6
The following is a DFT calculation (GGA-PBE) of a relaxed Y3InO crystal.

Computed properties:
DFT total energy: -6.529 eV per atom
energy relative to the elements, uncorrected: -1111 meV/atom
density of states at the Fermi level: 0.93 states/eV/atom
space-group type: R-3 (148)

Lattice parameters (Å, degrees): 7.1862 7.1862 7.1862 55.91 55.91 55.91
With the nearest neighbours (Å) after each atom.
Fractional positions:
Y  0.0841  0.6476  0.5168  2 O 2.46-2.53
Y  0.3524  0.4832  0.9159  2 O 2.46-2.53
Y  0.4832  0.9159  0.3524  2 O 2.46-2.53
Y  0.5168  0.0841  0.6476  2 O 2.46-2.53
Y  0.6476  0.5168  0.0841  2 O 2.46-2.53
Y  0.9159  0.3524  0.4832  2 O 2.46-2.53
In  0.1097  0.1097  0.1097  6 Y 2.97-3.24
In  0.8903  0.8903  0.8903  6 Y 2.97-3.24
O  0.3357  0.3357  0.3357  6 Y 2.46-2.53
O  0.6643  0.6643  0.6643  6 Y 2.46-2.53

Record 7
The following is a DFT calculation (GGA-PBE) of a relaxed RbCoSe2Br crystal.

Computed properties:
DFT total energy: -2.097 eV per atom
energy relative to the elements, uncorrected: 1246 meV/atom
density of states at the Fermi level: 2.33 states/eV/atom
space-group type: P4/mmm (123)

Lattice parameters (Å, degrees): 6.3579 6.3579 6.2380 90.00 90.00 90.00
With the nearest neighbours (Å) after each atom.
Fractional positions:
Rb  0.0000  0.0000  0.0000  2 Br 3.12, 4 Se 3.18
Co  0.5000  0.5000  0.5000  8 Se 4.45, 4 Br 4.50
Se  0.0000  0.5000  0.0000  2 Rb 3.18
Se  0.5000  0.0000  0.0000  2 Rb 3.18
Br  0.0000  0.0000  0.5000  2 Rb 3.12

Record 8
The following is a DFT calculation (GGA-PBE) of a relaxed ScFeTc2 crystal.

Computed properties:
energy of formation from the pure elements: 0.1659 eV/atom
DFT total energy: -8.716 eV per atom
density of states at the Fermi level: 1.33 states/eV/atom
space-group type: I4/mmm (139)

Lattice parameters (Å, degrees): 5.0262 5.0262 5.0262 136.14 136.14 63.77
With the nearest neighbours (Å) after each atom.
Fractional positions:
Sc  0.0000  0.0000  0.0000  4 Fe 2.65, 8 Tc 2.84
Fe  0.5000  0.5000  0.0000  4 Sc 2.65, 8 Tc 2.84
Tc  0.2500  0.7500  0.5000  4 Tc 2.65, 4 Fe 2.84, 4 Sc 2.84
Tc  0.7500  0.2500  0.5000  4 Tc 2.65, 4 Fe 2.84, 4 Sc 2.84

Record 9
The following is a DFT calculation (GGA-PBE) of a relaxed KAg2Os crystal.

Computed properties:
energy of formation from the pure elements: 0.7302 eV/atom
DFT total energy: -3.777 eV per atom
density of states at the Fermi level: 0.55 states/eV/atom
space-group type: Pmmm (47)

Lattice parameters (Å, degrees): 2.7114 4.2850 7.3482 90.00 90.00 90.00
With the nearest neighbours (Å) after each atom.
Fractional positions:
K  0.0000  0.0000  0.0000  2 K 2.71
Ag  0.5000  0.5000  0.3147  3 Ag 2.71-2.72, 4 Os 2.88
Ag  0.5000  0.5000  0.6853  3 Ag 2.71-2.72, 4 Os 2.88
Os  0.0000  0.0000  0.5000  2 Os 2.71, 8 Ag 2.88

Record 10
The following is a DFT calculation (GGA-PBE) of a relaxed BaTi2O5 crystal.

Computed properties:
DFT total energy: -8.388 eV per atom
energy relative to the elements, uncorrected: -3075 meV/atom
density of states at the Fermi level: 0.00 states/eV/atom
space-group type: C2 (5)

Lattice parameters (Å, degrees): 8.7417 8.7417 9.6279 102.50 102.50 26.21
With the nearest neighbours (Å) after each atom.
Fractional positions:
Ba  0.0000  0.0000  0.0000  12 O 2.81-3.05
Ba  0.1296  0.1344  0.4858  8 O 2.70-3.02
Ba  0.8656  0.8704  0.5142  8 O 2.70-3.02
Ti  0.3042  0.2836  0.1269  3 O 1.82-2.04
Ti  0.3386  0.3278  0.8031  2 O 1.74-1.89
Ti  0.4317  0.4915  0.2908  4 O 1.80-2.01
Ti  0.5085  0.5683  0.7092  4 O 1.80-2.01
Ti  0.6722  0.6614  0.1969  2 O 1.74-1.89
Ti  0.7164  0.6958  0.8731  3 O 1.82-2.04
O  0.0513  0.0168  0.7077  1 Ti 1.80
O  0.1822  0.1684  0.1632  3 Ti 2.01-2.12
O  0.2431  0.2280  0.8993  4 Ti 2.04-2.20
O  0.2928  0.2867  0.6217  1 Ti 1.74
O  0.3534  0.3413  0.3133  2 Ti 1.82-2.01
O  0.3975  0.3872  0.0760  1 Ti 1.85
O  0.4541  0.4305  0.7900  2 Ti 1.89-1.97
O  0.5109  0.4891  0.5000  2 Ti 1.98
O  0.5695  0.5459  0.2100  2 Ti 1.89-1.97
O  0.6128  0.6025  0.9240  1 Ti 1.85
O  0.6587  0.6466  0.6867  2 Ti 1.82-2.01
O  0.7133  0.7072  0.3783  1 Ti 1.74
O  0.7720  0.7569  0.1007  4 Ti 2.04-2.20
O  0.8316  0.8178  0.8368  3 Ti 2.01-2.12
O  0.9832  0.9487  0.2923  1 Ti 1.80

Record 11
The following is a DFT calculation (GGA-PBE) of a relaxed YMg2Zn crystal.

Computed properties:
energy of formation from the pure elements: -0.1253 eV/atom
DFT total energy: -2.857 eV per atom
density of states at the Fermi level: 0.80 states/eV/atom
space-group type: Pm (6)

Lattice parameters (Å, degrees): 3.3780 4.5477 6.2947 90.00 105.45 90.00
With the nearest neighbours (Å) after each atom.
Fractional positions:
Y  0.0000  0.0000  0.0000  4 Zn 3.08, 3 Mg 3.24-3.29, 2 Y 3.38
Mg  0.3348  0.5000  0.6705  6 Mg 3.09-3.38, 3 Zn 3.20-3.33
Mg  0.7317  0.0000  0.4652  2 Zn 2.79, 4 Mg 3.09-3.10
Zn  0.5982  0.5000  0.1981  2 Mg 2.79, 4 Y 3.08

Among the records above, which one has the highest density of states at the Fermi level?
RbCoSe2Br

Number 4 is which compound?
CsBaSiP2

Please write out number 11 again, unchanged.
The following is a DFT calculation (GGA-PBE) of a relaxed YMg2Zn crystal.

Computed properties:
energy of formation from the pure elements: -0.1253 eV/atom
DFT total energy: -2.857 eV per atom
density of states at the Fermi level: 0.80 states/eV/atom
space-group type: Pm (6)

Lattice parameters (Å, degrees): 3.3780 4.5477 6.2947 90.00 105.45 90.00
With the nearest neighbours (Å) after each atom.
Fractional positions:
Y  0.0000  0.0000  0.0000  4 Zn 3.08, 3 Mg 3.24-3.29, 2 Y 3.38
Mg  0.3348  0.5000  0.6705  6 Mg 3.09-3.38, 3 Zn 3.20-3.33
Mg  0.7317  0.0000  0.4652  2 Zn 2.79, 4 Mg 3.09-3.10
Zn  0.5982  0.5000  0.1981  2 Mg 2.79, 4 Y 3.08

Among the records above, which one has the lowest DFT total energy?
ScFeTc2